DFT (PBE) results for a relaxed structure of AcLa2Ni.

```
12
Lattice="4.045 0.000 0.000 -2.022 3.503 0.000 0.000 0.000 28.907" Properties=species:S:1:pos:R:3 pbc="T T T"
Ac 0.000 0.000 0.000
Ac 0.000 2.335 19.271
Ac 2.022 1.168 9.636
La 0.000 0.000 16.065
La 0.000 0.000 22.445
La 0.000 2.335 6.429
La 0.000 2.335 12.810
La 2.022 1.168 3.174
La 2.022 1.168 25.701
Ni 0.000 0.000 4.784
Ni 0.000 2.335 24.056
Ni 2.022 1.168 14.420
```

Calculated values
M_tot   0.0 μB per cell
Formation energy   -0.5 eV per formula unit
Energy above the lowest structure with this stoichiometry   58 meV/atom
Space group   R3m (160)



DFT (PBE) results for a relaxed structure of Ac2La3Ni2.

```
14
Lattice="12.551 0.000 0.000 0.000 3.925 0.000 -3.532 0.000 8.803" Properties=species:S:1:pos:R:3 pbc="T T T"
Ac 1.073 0.000 2.633
Ac 1.671 1.962 6.170
Ac 7.348 1.962 2.633
Ac 7.946 0.000 6.170
La -1.766 1.962 4.402
La -1.776 1.962 8.089
La 4.519 0.000 0.714
La 4.510 0.000 4.402
La 4.500 0.000 8.089
La 10.795 1.962 0.714
Ni -0.689 0.000 6.325
Ni 3.433 1.962 2.478
Ni 5.586 1.962 6.325
Ni 9.708 0.000 2.478
```

Calculated values
M_tot   0.0 μB per cell
Formation energy   -1.3 eV per formula unit
Space group   C2/m (12)



- Which value of formation energy does entry 1 give?
  -0.5 eV per formula unit